# AcLuTlGa

AcLuTlGa after structural relaxation (GGA-PBE, the Alexandria database).

Output
Its space group is F-43m. The value obtained for the total energy is -3.8337 eV/atom. As for the crystal system: cubic.

Structure (POSCAR):
```
AcLuTlGa
1.0
-2.812 3.866 -2.608
-0.392 -0.113 -5.430
-4.753 -1.216 -2.362
Ac Lu Tl Ga
1 1 1 1
Direct
0.500 0.500 0.500 Ac
0.000 0.000 0.000 Lu
0.750 0.750 0.750 Tl
0.250 0.250 0.250 Ga
```

# KLi2Hg

KLi2Hg after structural relaxation (GGA-PBE, the Alexandria database).

Output
Its space group is Pmmm. The value obtained for the total energy is -1.3050 eV/atom. As for the crystal system: orthorhombic.

Structure (POSCAR):
```
KLi2Hg
1.0
-2.441 -2.593 3.408
4.255 -1.249 2.099
-0.230 3.796 2.724
Hg K Li
1 1 2
Direct
0.500 0.000 0.500 Hg
0.000 0.500 0.500 K
0.000 0.000 0.000 Li
0.500 0.500 0.000 Li
```

# ZrTeS4

ZrTeS4 after structural relaxation (GGA-PBE, the Alexandria database).

Output
Its space group is P2_1/c. The value obtained for the total energy is -5.1972 eV/atom. As for the crystal system: monoclinic. The calculation puts the formation energy without anion corrections at -0.497 eV/atom.

Structure (POSCAR):
```
ZrTeS4
1.0
-0.501 -1.825 -6.211
5.753 -2.879 0.382
-2.858 -5.471 1.806
Zr Te S
2 2 8
Direct
0.000 0.000 0.000 Zr
0.500 0.500 0.000 Zr
0.500 0.000 0.500 Te
0.000 0.500 0.500 Te
0.840 0.659 0.142 S
0.660 0.159 0.858 S
0.353 0.355 0.343 S
0.147 0.855 0.657 S
0.160 0.341 0.858 S
0.340 0.841 0.142 S
0.647 0.645 0.657 S
0.853 0.145 0.343 S
```

# MgSb2WI

MgSb2WI after structural relaxation (GGA-PBE, the Alexandria database).

Output
Its space group is P4/mmm. The value obtained for the total energy is -3.4206 eV/atom. As for the crystal system: tetragonal. The calculation puts the formation energy without anion corrections at 1.448 eV/atom.

Structure (POSCAR):
```
MgSb2WI
1.0
5.329 0.000 0.000
0.000 5.329 0.000
0.000 0.000 5.477
I Sb Mg W
1 2 1 1
Direct
0.000 0.000 0.500 I
0.000 0.500 0.000 Sb
0.500 0.000 0.000 Sb
0.000 0.000 0.000 Mg
0.500 0.500 0.500 W
```

# HSe2F8

HSe2F8 after structural relaxation (GGA-PBE, the Alexandria database).

Output
Its space group is C2/m. The value obtained for the total energy is -3.7613 eV/atom. As for the crystal system: monoclinic.

Structure (POSCAR):
```
HSe2F8
1.0
-4.099 -1.581 1.473
2.838 -3.825 3.642
0.635 3.189 5.038
H Se F
1 2 8
Direct
0.000 0.000 0.000 H
0.565 0.266 0.266 Se
0.435 0.734 0.734 Se
0.698 0.132 0.554 F
0.302 0.446 0.868 F
0.926 0.117 0.117 F
0.074 0.883 0.883 F
0.698 0.554 0.132 F
0.302 0.868 0.446 F
0.281 0.390 0.390 F
0.719 0.610 0.610 F
```

# PbSe2IN

PbSe2IN after structural relaxation (GGA-PBE, the Alexandria database).

Output
Its space group is P4/mmm. The value obtained for the total energy is -3.0036 eV/atom. As for the crystal system: tetragonal. The calculation puts the formation energy without anion corrections at 1.107 eV/atom.

Structure (POSCAR):
```
PbSe2IN
1.0
5.631 0.000 0.000
0.000 5.631 0.000
0.000 0.000 4.356
Pb I Se N
1 1 2 1
Direct
0.000 0.000 0.000 Pb
0.500 0.500 0.500 I
0.000 0.500 0.000 Se
0.500 0.000 0.000 Se
0.000 0.000 0.500 N
```